1.
Entry from Alexandria: a relaxed structure of PdWI2 (PBE).

The structure in CIF format:
```
data_PdWI2
_space_group_name_H-M_alt 'I -4 2 d'
_space_group_IT_number 122
_space_group_name_Hall 'I -4 2bw'
_cell_length_a 6.1051
_cell_length_b 6.1051
_cell_length_c 12.4804
_cell_angle_alpha 90.00
_cell_angle_beta 90.00
_cell_angle_gamma 90.00
loop_
_atom_site_label
_atom_site_type_symbol
_atom_site_fract_x
_atom_site_fract_y
_atom_site_fract_z
_atom_site_occupancy
Pd1 Pd 0.0000 0.0000 0.0000 1
W1 W 0.0000 0.0000 0.5000 1
I1 I 0.2405 0.2500 0.6250 1
```



2.
Entry from Alexandria: a relaxed structure of Pd2WI (PBE).

The structure in CIF format:
```
data_Pd2WI
_space_group_name_H-M_alt 'F m -3 m'
_space_group_IT_number 225
_space_group_name_Hall '-F 4 2 3'
_cell_length_a 6.6649
_cell_length_b 6.6649
_cell_length_c 6.6649
_cell_angle_alpha 90.00
_cell_angle_beta 90.00
_cell_angle_gamma 90.00
loop_
_atom_site_label
_atom_site_type_symbol
_atom_site_fract_x
_atom_site_fract_y
_atom_site_fract_z
_atom_site_occupancy
Pd1 Pd 0.2500 0.2500 0.2500 1
W1 W 0.0000 0.0000 0.0000 1
I1 I 0.0000 0.0000 0.5000 1
```



3.
Entry from Alexandria: a relaxed structure of Pd4W2I (PBE).

The structure in CIF format:
```
data_Pd4W2I
_space_group_name_H-M_alt 'I 4/m m m'
_space_group_IT_number 139
_space_group_name_Hall '-I 4 2'
_cell_length_a 5.1249
_cell_length_b 5.1249
_cell_length_c 12.5144
_cell_angle_alpha 90.00
_cell_angle_beta 90.00
_cell_angle_gamma 90.00
loop_
_atom_site_label
_atom_site_type_symbol
_atom_site_fract_x
_atom_site_fract_y
_atom_site_fract_z
_atom_site_occupancy
Pd1 Pd 0.0000 0.0000 0.2104 1
Pd2 Pd 0.0000 0.5000 0.0000 1
W1 W 0.0000 0.0000 0.4096 1
I1 I 0.0000 0.0000 0.0000 1
```



4.
Entry from Alexandria: a relaxed structure of Pd3WI (PBE).

The structure in CIF format:
```
data_Pd3WI
_space_group_name_H-M_alt 'P m -3 m'
_space_group_IT_number 221
_space_group_name_Hall '-P 4 2 3'
_cell_length_a 4.9201
_cell_length_b 4.9201
_cell_length_c 4.9201
_cell_angle_alpha 90.00
_cell_angle_beta 90.00
_cell_angle_gamma 90.00
loop_
_atom_site_label
_atom_site_type_symbol
_atom_site_fract_x
_atom_site_fract_y
_atom_site_fract_z
_atom_site_occupancy
Pd1 Pd 0.0000 0.0000 0.5000 1
W1 W 0.0000 0.0000 0.0000 1
I1 I 0.5000 0.5000 0.5000 1
```



5.
Entry from Alexandria: a relaxed structure of PdW2I (PBE).

The structure in CIF format:
```
data_PdW2I
_space_group_name_H-M_alt 'I -4 2 d'
_space_group_IT_number 122
_space_group_name_Hall 'I -4 2bw'
_cell_length_a 3.8442
_cell_length_b 3.8442
_cell_length_c 20.6708
_cell_angle_alpha 90.00
_cell_angle_beta 90.00
_cell_angle_gamma 90.00
loop_
_atom_site_label
_atom_site_type_symbol
_atom_site_fract_x
_atom_site_fract_y
_atom_site_fract_z
_atom_site_occupancy
Pd1 Pd 0.0000 0.0000 0.0000 1
W1 W 0.2251 0.2500 0.1250 1
I1 I 0.0000 0.0000 0.5000 1
```



6.
Entry from Alexandria: a relaxed structure of Pd3WI (PBE).

The structure in CIF format:
```
data_Pd3WI
_space_group_name_H-M_alt 'P m -3 m'
_space_group_IT_number 221
_space_group_name_Hall '-P 4 2 3'
_cell_length_a 4.9213
_cell_length_b 4.9213
_cell_length_c 4.9213
_cell_angle_alpha 90.00
_cell_angle_beta 90.00
_cell_angle_gamma 90.00
loop_
_atom_site_label
_atom_site_type_symbol
_atom_site_fract_x
_atom_site_fract_y
_atom_site_fract_z
_atom_site_occupancy
Pd1 Pd 0.0000 0.0000 0.5000 1
W1 W 0.5000 0.5000 0.5000 1
I1 I 0.0000 0.0000 0.0000 1
```



7.
Entry from Alexandria: a relaxed structure of PdWI3 (PBE).

The structure in CIF format:
```
data_PdWI3
_space_group_name_H-M_alt 'P m -3 m'
_space_group_IT_number 221
_space_group_name_Hall '-P 4 2 3'
_cell_length_a 5.5898
_cell_length_b 5.5898
_cell_length_c 5.5898
_cell_angle_alpha 90.00
_cell_angle_beta 90.00
_cell_angle_gamma 90.00
loop_
_atom_site_label
_atom_site_type_symbol
_atom_site_fract_x
_atom_site_fract_y
_atom_site_fract_z
_atom_site_occupancy
Pd1 Pd 0.0000 0.0000 0.0000 1
W1 W 0.5000 0.5000 0.5000 1
I1 I 0.0000 0.5000 0.5000 1
```



8.
Entry from Alexandria: a relaxed structure of Pd2WI (PBE).

The structure in CIF format:
```
data_Pd2WI
_space_group_name_H-M_alt 'I -4 2 d'
_space_group_IT_number 122
_space_group_name_Hall 'I -4 2bw'
_cell_length_a 6.6284
_cell_length_b 6.6284
_cell_length_c 9.1396
_cell_angle_alpha 90.00
_cell_angle_beta 90.00
_cell_angle_gamma 90.00
loop_
_atom_site_label
_atom_site_type_symbol
_atom_site_fract_x
_atom_site_fract_y
_atom_site_fract_z
_atom_site_occupancy
Pd1 Pd 0.2119 0.2500 0.1250 1
W1 W 0.0000 0.0000 0.0000 1
I1 I 0.0000 0.0000 0.5000 1
```



Computed E_form (uncorrected), in the same sequence as the records: 0.9723, 0.9878, 1.2328, 1.0973, 1.0613, 1.5233, 0.9635, 0.9143 eV per atom.